## one
The following is a PBE calculation of an optimized crystal structure of LiTa2HgCl, from Alexandria.

CIF file:
```
data_LiTa2HgCl
_chemical_formula_sum 'Li1 Ta2 Hg1 Cl1'
_cell_length_a 4.794
_cell_length_b 4.794
_cell_length_c 3.921
_cell_angle_alpha 90.00
_cell_angle_beta 90.00
_cell_angle_gamma 90.00
_symmetry_space_group_name_H-M 'P 1'
_symmetry_Int_Tables_number 1
_symmetry_space_group_name_Hall 'P 1'
loop_
_atom_site_label
_atom_site_type_symbol
_atom_site_fract_x
_atom_site_fract_y
_atom_site_fract_z
Li1 Li 0.000 0.000 0.000
Ta1 Ta 0.000 0.500 0.000
Ta2 Ta 0.500 0.000 0.000
Hg1 Hg 0.500 0.500 0.500
Cl1 Cl 0.000 0.000 0.500
```

Its density is 11.15 g cm⁻³.

***

## two
The following is a PBE calculation of an optimized crystal structure of LiTa2HgCl, from Alexandria.

CIF file:
```
data_LiTa2HgCl
_chemical_formula_sum 'Li1 Ta2 Hg1 Cl1'
_cell_length_a 5.193
_cell_length_b 5.193
_cell_length_c 5.013
_cell_angle_alpha 90.00
_cell_angle_beta 90.00
_cell_angle_gamma 90.00
_symmetry_space_group_name_H-M 'P 1'
_symmetry_Int_Tables_number 1
_symmetry_space_group_name_Hall 'P 1'
loop_
_atom_site_label
_atom_site_type_symbol
_atom_site_fract_x
_atom_site_fract_y
_atom_site_fract_z
Li1 Li 0.000 0.000 0.000
Ta1 Ta 0.000 0.500 0.500
Ta2 Ta 0.500 0.000 0.500
Hg1 Hg 0.000 0.000 0.500
Cl1 Cl 0.500 0.500 0.000
```

Its density is 7.43 g cm⁻³.

***

Most stable structure, least stable structure: one, two.

***

## one
The following is a PBE calculation of an optimized crystal structure of MgHgCl2, from Alexandria.

CIF file:
```
data_MgHgCl2
_chemical_formula_sum 'Mg1 Hg1 Cl2'
_cell_length_a 4.207
_cell_length_b 3.452
_cell_length_c 9.670
_cell_angle_alpha 90.00
_cell_angle_beta 101.01
_cell_angle_gamma 90.00
_symmetry_space_group_name_H-M 'P 1'
_symmetry_Int_Tables_number 1
_symmetry_space_group_name_Hall 'P 1'
loop_
_atom_site_label
_atom_site_type_symbol
_atom_site_fract_x
_atom_site_fract_y
_atom_site_fract_z
Mg1 Mg 0.000 0.000 0.000
Hg1 Hg 0.500 0.000 0.500
Cl1 Cl 0.156 0.500 0.853
Cl2 Cl 0.844 0.500 0.147
```

Its density is 3.56 g cm⁻³.

***

## two
The following is a PBE calculation of an optimized crystal structure of MgHgCl2, from Alexandria.

CIF file:
```
data_MgHgCl2
_chemical_formula_sum 'Mg1 Hg1 Cl2'
_cell_length_a 5.756
_cell_length_b 3.654
_cell_length_c 6.337
_cell_angle_alpha 90.00
_cell_angle_beta 111.40
_cell_angle_gamma 90.00
_symmetry_space_group_name_H-M 'P 1'
_symmetry_Int_Tables_number 1
_symmetry_space_group_name_Hall 'P 1'
loop_
_atom_site_label
_atom_site_type_symbol
_atom_site_fract_x
_atom_site_fract_y
_atom_site_fract_z
Mg1 Mg 0.000 0.000 0.000
Hg1 Hg 0.688 0.500 0.169
Cl1 Cl 0.005 0.500 0.758
Cl2 Cl 0.355 0.000 0.324
```

Its density is 3.96 g cm⁻³.

***

## three
The following is a PBE calculation of an optimized crystal structure of MgHgCl2, from Alexandria.

CIF file:
```
data_MgHgCl2
_chemical_formula_sum 'Mg1 Hg1 Cl2'
_cell_length_a 3.566
_cell_length_b 3.566
_cell_length_c 9.800
_cell_angle_alpha 90.00
_cell_angle_beta 90.00
_cell_angle_gamma 90.00
_symmetry_space_group_name_H-M 'P 1'
_symmetry_Int_Tables_number 1
_symmetry_space_group_name_Hall 'P 1'
loop_
_atom_site_label
_atom_site_type_symbol
_atom_site_fract_x
_atom_site_fract_y
_atom_site_fract_z
Mg1 Mg 0.000 0.000 0.000
Hg1 Hg 0.500 0.500 0.511
Cl1 Cl 0.000 0.000 0.222
Cl2 Cl 0.500 0.500 0.911
```

Its density is 3.94 g cm⁻³.

***

## four
The following is a PBE calculation of an optimized crystal structure of MgHgCl2, from Alexandria.

CIF file:
```
data_MgHgCl2
_chemical_formula_sum 'Mg1 Hg1 Cl2'
_cell_length_a 3.857
_cell_length_b 3.857
_cell_length_c 8.976
_cell_angle_alpha 90.00
_cell_angle_beta 90.00
_cell_angle_gamma 122.67
_symmetry_space_group_name_H-M 'P 1'
_symmetry_Int_Tables_number 1
_symmetry_space_group_name_Hall 'P 1'
loop_
_atom_site_label
_atom_site_type_symbol
_atom_site_fract_x
_atom_site_fract_y
_atom_site_fract_z
Mg1 Mg 0.000 0.000 0.000
Hg1 Hg 0.500 0.500 0.242
Cl1 Cl 0.000 0.000 0.448
Cl2 Cl 0.500 0.500 0.830
```

Its density is 4.37 g cm⁻³.

***

Most stable structure, least stable structure: one, four.

***

## one
The following is a PBE calculation of an optimized crystal structure of MgHgCl2, from Alexandria.

CIF file:
```
data_MgHgCl2
_chemical_formula_sum 'Mg1 Hg1 Cl2'
_cell_length_a 5.812
_cell_length_b 5.812
_cell_length_c 5.812
_cell_angle_alpha 136.22
_cell_angle_beta 136.22
_cell_angle_gamma 63.65
_symmetry_space_group_name_H-M 'P 1'
_symmetry_Int_Tables_number 1
_symmetry_space_group_name_Hall 'P 1'
loop_
_atom_site_label
_atom_site_type_symbol
_atom_site_fract_x
_atom_site_fract_y
_atom_site_fract_z
Mg1 Mg 0.000 0.000 0.000
Hg1 Hg 0.750 0.250 0.500
Cl1 Cl 0.250 0.750 0.500
Cl2 Cl 0.500 0.500 0.000
```

Its density is 5.30 g cm⁻³.

***

## two
The following is a PBE calculation of an optimized crystal structure of MgHgCl2, from Alexandria.

CIF file:
```
data_MgHgCl2
_chemical_formula_sum 'Mg1 Hg1 Cl2'
_cell_length_a 5.048
_cell_length_b 5.048
_cell_length_c 5.048
_cell_angle_alpha 60.00
_cell_angle_beta 60.00
_cell_angle_gamma 60.00
_symmetry_space_group_name_H-M 'P 1'
_symmetry_Int_Tables_number 1
_symmetry_space_group_name_Hall 'P 1'
loop_
_atom_site_label
_atom_site_type_symbol
_atom_site_fract_x
_atom_site_fract_y
_atom_site_fract_z
Mg1 Mg 0.000 0.000 0.000
Hg1 Hg 0.750 0.750 0.750
Cl1 Cl 0.250 0.250 0.250
Cl2 Cl 0.500 0.500 0.500
```

Its density is 5.40 g cm⁻³.

***

## three
The following is a PBE calculation of an optimized crystal structure of MgHgCl2, from Alexandria.

CIF file:
```
data_MgHgCl2
_chemical_formula_sum 'Mg1 Hg1 Cl2'
_cell_length_a 9.230
_cell_length_b 9.230
_cell_length_c 9.230
_cell_angle_alpha 37.78
_cell_angle_beta 37.78
_cell_angle_gamma 37.78
_symmetry_space_group_name_H-M 'P 1'
_symmetry_Int_Tables_number 1
_symmetry_space_group_name_Hall 'P 1'
loop_
_atom_site_label
_atom_site_type_symbol
_atom_site_fract_x
_atom_site_fract_y
_atom_site_fract_z
Mg1 Mg 0.000 0.000 0.000
Hg1 Hg 0.500 0.500 0.500
Cl1 Cl 0.085 0.085 0.085
Cl2 Cl 0.915 0.915 0.915
```

Its density is 1.85 g cm⁻³.

***

Most stable structure, least stable structure: three, two.

***

## one
The following is a PBE calculation of an optimized crystal structure of MgHgCl2, from Alexandria.

CIF file:
```
data_MgHgCl2
_chemical_formula_sum 'Mg1 Hg1 Cl2'
_cell_length_a 5.085
_cell_length_b 5.085
_cell_length_c 5.085
_cell_angle_alpha 60.00
_cell_angle_beta 60.00
_cell_angle_gamma 60.00
_symmetry_space_group_name_H-M 'P 1'
_symmetry_Int_Tables_number 1
_symmetry_space_group_name_Hall 'P 1'
loop_
_atom_site_label
_atom_site_type_symbol
_atom_site_fract_x
_atom_site_fract_y
_atom_site_fract_z
Mg1 Mg 0.000 0.000 0.000
Hg1 Hg 0.500 0.500 0.500
Cl1 Cl 0.250 0.250 0.250
Cl2 Cl 0.750 0.750 0.750
```

Its density is 5.28 g cm⁻³.

***

## two
The following is a PBE calculation of an optimized crystal structure of MgHgCl2, from Alexandria.

CIF file:
```
data_MgHgCl2
_chemical_formula_sum 'Mg2 Hg2 Cl4'
_cell_length_a 3.657
_cell_length_b 3.657
_cell_length_c 21.939
_cell_angle_alpha 90.00
_cell_angle_beta 90.00
_cell_angle_gamma 120.00
_symmetry_space_group_name_H-M 'P 1'
_symmetry_Int_Tables_number 1
_symmetry_space_group_name_Hall 'P 1'
loop_
_atom_site_label
_atom_site_type_symbol
_atom_site_fract_x
_atom_site_fract_y
_atom_site_fract_z
Mg1 Mg 0.000 0.000 0.000
Mg2 Mg 0.000 0.000 0.500
Hg1 Hg 0.333 0.667 0.250
Hg2 Hg 0.667 0.333 0.750
Cl1 Cl 0.333 0.667 0.063
Cl2 Cl 0.333 0.667 0.437
Cl3 Cl 0.667 0.333 0.563
Cl4 Cl 0.667 0.333 0.937
```

Its density is 3.87 g cm⁻³.

***

Most stable structure, least stable structure: two, one.

***

## one
The following is a PBE calculation of an optimized crystal structure of MgHgCl2, from Alexandria.

CIF file:
```
data_MgHgCl2
_chemical_formula_sum 'Mg1 Hg1 Cl2'
_cell_length_a 11.239
_cell_length_b 11.239
_cell_length_c 11.239
_cell_angle_alpha 18.72
_cell_angle_beta 18.72
_cell_angle_gamma 18.72
_symmetry_space_group_name_H-M 'P 1'
_symmetry_Int_Tables_number 1
_symmetry_space_group_name_Hall 'P 1'
loop_
_atom_site_label
_atom_site_type_symbol
_atom_site_fract_x
_atom_site_fract_y
_atom_site_fract_z
Mg1 Mg 0.000 0.000 0.000
Hg1 Hg 0.500 0.500 0.500
Cl1 Cl 0.375 0.375 0.375
Cl2 Cl 0.625 0.625 0.625
```

Its density is 3.84 g cm⁻³.

***

## two
The following is a PBE calculation of an optimized crystal structure of MgHgCl2, from Alexandria.

CIF file:
```
data_MgHgCl2
_chemical_formula_sum 'Mg1 Hg1 Cl2'
_cell_length_a 3.256
_cell_length_b 3.256
_cell_length_c 10.063
_cell_angle_alpha 90.00
_cell_angle_beta 90.00
_cell_angle_gamma 90.00
_symmetry_space_group_name_H-M 'P 1'
_symmetry_Int_Tables_number 1
_symmetry_space_group_name_Hall 'P 1'
loop_
_atom_site_label
_atom_site_type_symbol
_atom_site_fract_x
_atom_site_fract_y
_atom_site_fract_z
Mg1 Mg 0.000 0.000 0.000
Hg1 Hg 0.000 0.000 0.500
Cl1 Cl 0.500 0.500 0.149
Cl2 Cl 0.500 0.500 0.851
```

Its density is 4.60 g cm⁻³.

***

## three
The following is a PBE calculation of an optimized crystal structure of MgHgCl2, from Alexandria.

CIF file:
```
data_MgHgCl2
_chemical_formula_sum 'Mg1 Hg1 Cl2'
_cell_length_a 4.820
_cell_length_b 4.820
_cell_length_c 4.040
_cell_angle_alpha 90.00
_cell_angle_beta 90.00
_cell_angle_gamma 90.27
_symmetry_space_group_name_H-M 'P 1'
_symmetry_Int_Tables_number 1
_symmetry_space_group_name_Hall 'P 1'
loop_
_atom_site_label
_atom_site_type_symbol
_atom_site_fract_x
_atom_site_fract_y
_atom_site_fract_z
Mg1 Mg 0.000 0.000 0.000
Hg1 Hg 0.500 0.500 0.000
Cl1 Cl 0.000 0.500 0.500
Cl2 Cl 0.500 0.000 0.500
```

Its density is 5.23 g cm⁻³.

***

Most stable structure, least stable structure: one, three.

***

## one
The following is a PBE calculation of an optimized crystal structure of Mg2HgCl, from Alexandria.

CIF file:
```
data_Mg2HgCl
_chemical_formula_sum 'Mg2 Hg1 Cl1'
_cell_length_a 3.286
_cell_length_b 3.656
_cell_length_c 7.568
_cell_angle_alpha 90.00
_cell_angle_beta 90.00
_cell_angle_gamma 90.00
_symmetry_space_group_name_H-M 'P 1'
_symmetry_Int_Tables_number 1
_symmetry_space_group_name_Hall 'P 1'
loop_
_atom_site_label
_atom_site_type_symbol
_atom_site_fract_x
_atom_site_fract_y
_atom_site_fract_z
Mg1 Mg 0.000 0.000 0.221
Mg2 Mg 0.000 0.000 0.779
Hg1 Hg 0.500 0.500 0.000
Cl1 Cl 0.500 0.000 0.500
```

Its density is 5.20 g cm⁻³.

***

## two
The following is a PBE calculation of an optimized crystal structure of Mg2HgCl, from Alexandria.

CIF file:
```
data_Mg2HgCl
_chemical_formula_sum 'Mg2 Hg1 Cl1'
_cell_length_a 3.325
_cell_length_b 5.173
_cell_length_c 5.197
_cell_angle_alpha 90.00
_cell_angle_beta 90.07
_cell_angle_gamma 90.00
_symmetry_space_group_name_H-M 'P 1'
_symmetry_Int_Tables_number 1
_symmetry_space_group_name_Hall 'P 1'
loop_
_atom_site_label
_atom_site_type_symbol
_atom_site_fract_x
_atom_site_fract_y
_atom_site_fract_z
Mg1 Mg 0.000 0.000 0.000
Mg2 Mg 0.003 0.500 0.502
Hg1 Hg 0.502 0.000 0.500
Cl1 Cl 0.000 0.500 0.001
```

Its density is 5.29 g cm⁻³.

***

Most stable structure, least stable structure: one, two.